Computed, not measured: a relaxed AgMo2HF crystal at the PBE+U level of DFT.

Geometry as POSCAR:
```
AgMo2HF
1.0
4.879 0.000 0.000
0.000 4.662 0.000
0.000 0.000 4.879
Ag H F Mo
1 1 1 2
direct
0.000 0.500 0.000
0.500 0.500 0.500
0.000 0.000 0.000
0.500 0.000 0.000
0.000 0.000 0.500
```

Calculated values
D(E_F)	2.2	states/eV per cell
DFT total energy	-3.4287	eV/atom